1.
## Ce3BN5 (GGA-PBE)

Data for a relaxed Ce3BN5 crystal.

As for the uncorrected formation energy: -1.22 eV/atom.

The structure belongs to space group I4/mcm (No. 140); the cell edges are 6.507, 6.507 and 10.372 Å and the angles 90.00°, 90.00° and 90.00°. Symmetry generates all atoms from Ce at (0.000, 0.000, 0.250), Ce at (0.178, 0.322, 0.000), B at (0.000, 0.500, 0.250), N at (0.000, 0.000, 0.000) and N at (0.136, 0.364, 0.346).

---

2.
## CeBN2 (GGA-PBE)

Data for a relaxed CeBN2 crystal.

As for the uncorrected formation energy: -1.25 eV/atom. The polymorph energy (0 for the lowest one) is 0.066 eV/atom.

The structure belongs to space group P2_1/m (No. 11); the cell edges are 3.638, 4.981 and 5.249 Å and the angles 90.00°, 99.12° and 90.00°. Symmetry generates all atoms from Ce at (0.148, 0.250, 0.301), B at (0.438, 0.750, 0.138), N at (0.272, 0.750, 0.376) and N at (0.500, 0.000, 0.000).

---

3.
## CeBN2 (GGA-PBE)

Data for a relaxed CeBN2 crystal.

As for the uncorrected formation energy: -1.32 eV/atom. The polymorph energy (0 for the lowest one) is 0.000 eV/atom.

The structure belongs to space group P-1 (No. 2); the cell edges are 6.398, 6.802 and 7.713 Å and the angles 106.55°, 90.26° and 115.60°. Symmetry generates all atoms from Ce at (0.036, 0.277, 0.067), Ce at (0.036, 0.283, 0.575), Ce at (0.455, 0.145, 0.295), B at (0.220, 0.069, 0.769), B at (0.399, 0.705, 0.331), B at (0.402, 0.716, 0.011), N at (0.034, 0.016, 0.253), N at (0.262, 0.555, 0.431), N at (0.266, 0.586, 0.832), N at (0.269, 0.698, 0.167), N at (0.344, 0.130, 0.955) and N at (0.349, 0.129, 0.616).

---

4.
## CeB2N2 (GGA-PBE)

Data for a relaxed CeB2N2 crystal.

As for the uncorrected formation energy: -0.46 eV/atom.

The structure belongs to space group R-3m (No. 166, hexagonal axes); the cell edges are 2.7748, 2.7748 and 20.3254 Å and the angles 90.00°, 90.00° and 120.00°. Symmetry generates all atoms from Ce at (0.0000, 0.0000, 0.0000), B at (0.0000, 0.0000, 0.4563) and N at (0.0000, 0.0000, 0.2339).

---

5.
## CeB6N6 (GGA-PBE)

Data for a relaxed CeB6N6 crystal.

As for the uncorrected formation energy: -0.21 eV/atom.

The structure belongs to space group Pm-3 (No. 200); the cell edges are 4.695, 4.695 and 4.695 Å and the angles 90.00°, 90.00° and 90.00°. Symmetry generates all atoms from Ce at (0.000, 0.000, 0.000), B at (0.000, 0.236, 0.500) and N at (0.000, 0.500, 0.248).

---

6.
## Ce2BN4 (GGA-PBE)

Data for a relaxed Ce2BN4 crystal.

As for the uncorrected formation energy: -1.02 eV/atom.

The structure belongs to space group P2_1/m (No. 11); the cell edges are 5.332, 4.699 and 7.012 Å and the angles 90.00°, 104.72° and 90.00°. Symmetry generates all atoms from Ce at (0.227, 0.250, 0.447), Ce at (0.261, 0.250, 0.956), B at (0.261, 0.750, 0.212), N at (0.064, 0.750, 0.346), N at (0.148, 0.750, 0.982) and N at (0.481, 0.515, 0.272).

---

What did the fifth record say?
## CeB6N6 (GGA-PBE)

Data for a relaxed CeB6N6 crystal.

As for the uncorrected formation energy: -0.21 eV/atom.

The structure belongs to space group Pm-3 (No. 200); the cell edges are 4.695, 4.695 and 4.695 Å and the angles 90.00°, 90.00° and 90.00°. Symmetry generates all atoms from Ce at (0.000, 0.000, 0.000), B at (0.000, 0.236, 0.500) and N at (0.000, 0.500, 0.248).